# LuHgS2 | Alexandria via LeMat-Bulk | PBE | relaxed
data_LuHgS2
_chemical_formula_sum 'Lu3 Hg3 S6'
_cell_length_a 3.9091
_cell_length_b 3.9091
_cell_length_c 24.4944
_cell_angle_alpha 90.00
_cell_angle_beta 90.00
_cell_angle_gamma 120.00
_space_group_name_H-M_alt 'R -3 m'
_space_group_IT_number 166
_space_group_name_Hall '-R 3 2"'
loop_
_atom_site_label
_atom_site_type_symbol
_atom_site_fract_x
_atom_site_fract_y
_atom_site_fract_z
Lu1 Lu 0.0000 0.0000 0.0000
Hg1 Hg 0.0000 0.0000 0.5000
S1 S 0.0000 0.0000 0.3920
# E	-53.09	eV/cell
# raw formation energy	-111.5	kJ/mol of atoms